(1)
# AcZnBi

An optimized crystal structure of AcZnBi (PBE-GGA, the Open Quantum Materials Database).

a b c (Å): 5.452 5.452 5.452
angles (deg): 60.00 60.00 60.00
Fractional positions:
Zn  0.750  0.750  0.750
Bi  0.250  0.250  0.250
Ac  0.000  0.000  0.000

The calculated volume is 114.62 Å³ per cell. The total magnetization is 0.0 μB per formula unit. Its crystal system is cubic. As for the space-group type: No. 216. The total energy comes out at -3.418 eV/atom.

---

(2)
# Y3In3IrAu2

An optimized crystal structure of Y3In3IrAu2 (PBE-GGA, the Open Quantum Materials Database).

a b c (Å): 7.737 7.737 3.953
angles (deg): 90.00 90.00 120.00
Fractional positions:
Y  0.604  0.604  0.000
In  0.745  0.000  0.500
Au  0.667  0.333  0.500
In  0.255  0.255  0.500
Y  0.396  0.000  0.000
Ir  0.000  0.000  0.000
Au  0.333  0.667  0.500
In  0.000  0.745  0.500
Y  0.000  0.396  0.000

The calculated volume is 204.91 Å³ per cell. The total magnetization is 0.0 μB per formula unit. Its crystal system is hexagonal. As for the space-group type: No. 189. The total energy comes out at -5.523 eV/atom.

---

(3)
# TaFeTcSb

An optimized crystal structure of TaFeTcSb (PBE-GGA, the Open Quantum Materials Database).

a b c (Å): 4.531 4.531 4.531
angles (deg): 60.00 60.00 60.00
Fractional positions:
Fe  0.750  0.750  0.750
Ta  0.250  0.250  0.250
Tc  0.500  0.500  0.500
Sb  0.000  0.000  0.000

The calculated volume is 65.78 Å³ per cell. The total magnetization is 3.4 μB per formula unit. Its crystal system is cubic. As for the space-group type: No. 216. The total energy comes out at -8.347 eV/atom.

---

(4)
# CdBi2

An optimized crystal structure of CdBi2 (PBE-GGA, the Open Quantum Materials Database).

a b c (Å): 4.434 6.034 7.150
angles (deg): 97.07 108.06 90.00
Fractional positions:
Cd  0.218  0.829  0.436
Bi  0.540  0.761  0.080
Bi  0.863  0.686  0.726
Bi  0.137  0.314  0.274
Bi  0.460  0.239  0.920
Cd  0.782  0.171  0.564

The calculated volume is 180.36 Å³ per cell. Its crystal system is monoclinic. As for the space-group type: No. 12. The total energy comes out at -2.910 eV/atom.

---

(5)
# CdB

An optimized crystal structure of CdB (PBE-GGA, the Open Quantum Materials Database).

a b c (Å): 3.536 3.536 3.536
angles (deg): 60.00 60.00 60.00
Fractional positions:
Cd  0.500  0.500  0.500
B  0.000  0.000  0.000

The calculated volume is 31.26 Å³ per cell. Its crystal system is cubic. As for the space-group type: No. 225. The total energy comes out at -2.385 eV/atom.